No. 1
Entry from Alexandria via LeMat-Bulk: a crystal of CsLiMg3 relaxed with PBEsol (SCAN).

The structure in CIF format:
```
data_CsLiMg3
_space_group_name_H-M_alt 'P 1'
_space_group_IT_number 1
_cell_length_a 6.549
_cell_length_b 6.549
_cell_length_c 6.549
_cell_angle_alpha 90.00
_cell_angle_beta 90.00
_cell_angle_gamma 90.00
loop_
_space_group_symop_operation_xyz
'x,y,z'
loop_
_atom_site_label
_atom_site_type_symbol
_atom_site_fract_x
_atom_site_fract_y
_atom_site_fract_z
Cs1 Cs 0.000 0.000 0.000
Mg1 Mg 0.000 0.500 0.000
Mg2 Mg 0.000 0.000 0.500
Mg3 Mg 0.500 0.000 0.000
Li1 Li 0.500 0.500 0.500
```

Computed properties:
DOS at the Fermi energy (states/eV/atom): 0.587
Electronic total energy (eV/atom): -9.915
Density (g/cm³): 1.26



No. 2
Entry from Alexandria via LeMat-Bulk: a crystal of BeTcNF2 relaxed with PBEsol (SCAN).

The structure in CIF format:
```
data_BeTcNF2
_space_group_name_H-M_alt 'P 1'
_space_group_IT_number 1
_cell_length_a 3.767
_cell_length_b 4.049
_cell_length_c 4.049
_cell_angle_alpha 90.00
_cell_angle_beta 90.00
_cell_angle_gamma 90.00
loop_
_space_group_symop_operation_xyz
'x,y,z'
loop_
_atom_site_label
_atom_site_type_symbol
_atom_site_fract_x
_atom_site_fract_y
_atom_site_fract_z
Be1 Be 0.500 0.500 0.500
N1 N 0.500 0.000 0.000
Tc1 Tc 0.000 0.000 0.000
F1 F 0.000 0.000 0.500
F2 F 0.000 0.500 0.000
```

Computed properties:
DOS at the Fermi energy (states/eV/atom): 0.443
Formation energy (no corrections) (eV/atom): -0.3075
Electronic total energy (eV/atom): -11.464
Density (g/cm³): 4.27



No. 3
Entry from Alexandria via LeMat-Bulk: a crystal of BeZnTe relaxed with PBEsol (SCAN).

The structure in CIF format:
```
data_BeZnTe
_space_group_name_H-M_alt 'P 1'
_space_group_IT_number 1
_cell_length_a 3.054
_cell_length_b 3.054
_cell_length_c 6.373
_cell_angle_alpha 103.86
_cell_angle_beta 103.86
_cell_angle_gamma 90.00
loop_
_space_group_symop_operation_xyz
'x,y,z'
loop_
_atom_site_label
_atom_site_type_symbol
_atom_site_fract_x
_atom_site_fract_y
_atom_site_fract_z
Be1 Be 0.961 0.961 0.921
Zn1 Zn 0.386 0.386 0.773
Te1 Te 0.653 0.653 0.306
```

Computed properties:
DOS at the Fermi energy (states/eV/atom): 0.312
E above lowest polymorph (meV/atom): 69
Formation energy (no corrections) (eV/atom): 0.4780
Electronic total energy (eV/atom): -17.895
Density (g/cm³): 6.00



No. 4
Entry from Alexandria via LeMat-Bulk: a crystal of Ni8Bi8S relaxed with PBEsol (SCAN).

The structure in CIF format:
```
data_Ni8Bi8S
_space_group_name_H-M_alt 'P 1'
_space_group_IT_number 1
_cell_length_a 4.141
_cell_length_b 10.012
_cell_length_c 17.409
_cell_angle_alpha 90.00
_cell_angle_beta 90.00
_cell_angle_gamma 90.00
loop_
_space_group_symop_operation_xyz
'x,y,z'
loop_
_atom_site_label
_atom_site_type_symbol
_atom_site_fract_x
_atom_site_fract_y
_atom_site_fract_z
Ni1 Ni 0.498 0.812 0.968
Ni2 Ni 0.498 0.188 0.032
Ni3 Ni 0.502 0.688 0.468
Ni4 Ni 0.502 0.312 0.532
Ni5 Ni 0.002 0.909 0.903
Ni6 Ni 0.002 0.091 0.097
Ni7 Ni 0.998 0.591 0.403
Ni8 Ni 0.998 0.409 0.597
Ni9 Ni 0.999 0.825 0.053
Ni10 Ni 0.999 0.175 0.947
Ni11 Ni 0.001 0.675 0.553
Ni12 Ni 0.001 0.325 0.447
Ni13 Ni 0.497 0.941 0.106
Ni14 Ni 0.497 0.059 0.894
Ni15 Ni 0.503 0.559 0.606
Ni16 Ni 0.503 0.441 0.394
Bi1 Bi 0.499 0.831 0.813
Bi2 Bi 0.499 0.169 0.187
Bi3 Bi 0.501 0.669 0.313
Bi4 Bi 0.501 0.331 0.687
Bi5 Bi 0.498 0.673 0.099
Bi6 Bi 0.498 0.327 0.901
Bi7 Bi 0.502 0.827 0.599
Bi8 Bi 0.502 0.173 0.401
Bi9 Bi 0.999 0.648 0.936
Bi10 Bi 0.999 0.352 0.064
Bi11 Bi 0.001 0.852 0.436
Bi12 Bi 0.001 0.148 0.564
Bi13 Bi 0.000 0.896 0.202
Bi14 Bi 0.000 0.104 0.798
Bi15 Bi 0.000 0.604 0.702
Bi16 Bi 0.000 0.396 0.298
S1 S 0.748 0.000 0.000
S2 S 0.252 0.500 0.500
```

Computed properties:
DOS at the Fermi energy (states/eV/atom): 0.561
Formation energy (no corrections) (eV/atom): -0.0297
Electronic total energy (eV/atom): -45.186
Density (g/cm³): 10.00